## PuGe3Ru3 (PBE-GGA)

Data for crystalline PuGe3Ru3 at its relaxed geometry.

Summary:
spin magnetization = 5.5 μB/f.u.
space group = Pm-3n, No. 223
DFT formation energy = 187 meV per atom

a = 6.696 Å, b = 6.696 Å, c = 6.696 Å
α = 90.00°, β = 90.00°, γ = 90.00°
Each line ends with the local moment (μB).
Element x y z (fractional)
Ru1 0.000 0.250 0.500  -0.06
Ru2 0.000 0.750 0.500  -0.06
Ru3 0.500 0.000 0.750  -0.06
Ru4 0.750 0.500 0.000  -0.06
Ru5 0.500 0.000 0.250  -0.06
Ru6 0.250 0.500 0.000  -0.06
Ge1 0.250 0.000 0.500  -0.01
Ge2 0.000 0.500 0.250  -0.01
Ge3 0.500 0.750 0.000  -0.01
Ge4 0.750 0.000 0.500  -0.01
Ge5 0.000 0.500 0.750  -0.01
Ge6 0.500 0.250 0.000  -0.01
Pu1 0.500 0.500 0.500  5.51
Pu2 0.000 0.000 0.000  5.51


## Pu3GeRu2 (PBE-GGA)

Data for crystalline Pu3GeRu2 at its relaxed geometry.

Summary:
spin magnetization = 4.1 μB/f.u.
space group = P2_1/c, No. 14
DFT formation energy = -167 meV per atom

a = 12.222 Å, b = 5.640 Å, c = 7.984 Å
α = 90.00°, β = 121.75°, γ = 90.00°
Each line ends with the local moment (μB).
Element x y z (fractional)
Pu1 0.374 0.984 0.166  4.57
Pu2 0.126 0.484 0.334  4.57
Pu3 0.626 0.016 0.834  4.57
Pu4 0.874 0.516 0.666  4.57
Pu5 0.327 0.522 0.135  -4.66
Pu6 0.173 0.022 0.365  -4.66
Pu7 0.673 0.478 0.865  -4.66
Pu8 0.827 0.978 0.635  -4.66
Pu9 0.867 0.816 0.307  4.72
Pu10 0.633 0.316 0.193  4.72
Pu11 0.133 0.184 0.693  4.72
Pu12 0.367 0.684 0.807  4.72
Ge1 0.597 0.672 0.464  -0.01
Ge2 0.903 0.172 0.036  -0.01
Ge3 0.403 0.328 0.536  -0.01
Ge4 0.097 0.828 0.964  -0.01
Ru1 0.602 0.821 0.157  -0.55
Ru2 0.898 0.321 0.343  -0.55
Ru3 0.398 0.179 0.843  -0.55
Ru4 0.102 0.679 0.657  -0.55
Ru5 0.411 0.793 0.518  -0.15
Ru6 0.089 0.293 0.982  -0.15
Ru7 0.589 0.207 0.482  -0.15
Ru8 0.911 0.707 0.018  -0.15


Question: What is the DFT formation energy in the first record?
Answer: 187 meV per atom


Question: Which of these has the lowest DFT formation energy?
Answer: Pu3GeRu2


Question: Which of these has the lowest DFT formation energy?
Answer: Pu3GeRu2


Question: Among the records above, which one has the highest DFT formation energy?
Answer: PuGe3Ru3